A.
This record from Alexandria via LeMat-Bulk describes AcLaTePb after structural relaxation. The functional is PBE.

Cell and atoms, written as POSCAR:
```
AcLaTePb
1.0
2.377 1.372 7.704
-2.377 1.372 7.704
0.000 -2.745 7.704
Ac La Te Pb
1 1 1 1
direct
0.000 0.000 0.000
0.494 0.494 0.494
0.244 0.244 0.244
0.751 0.751 0.751
```

## Properties
total magnetization: 0.000 μB per atom
space group: R3m, No. 160

B.
This record from Alexandria via LeMat-Bulk describes AcLaTePb after structural relaxation. The functional is PBE.

Cell and atoms, written as POSCAR:
```
AcLaTePb
1.0
0.000 4.068 4.068
4.068 0.000 4.068
4.068 4.068 0.000
Ac La Te Pb
1 1 1 1
direct
0.000 0.000 0.000
0.500 0.500 0.500
0.250 0.250 0.250
0.750 0.750 0.750
```

## Properties
total magnetization: 0.000 μB per atom
space group: F-43m, No. 216

Going by the energies, A is most stable and the next is 0.200 eV/atom up.

A.
This record from Alexandria via LeMat-Bulk describes Ac2LaPd9 after structural relaxation. The functional is PBE.

Cell and atoms, written as POSCAR:
```
Ac2LaPd9
1.0
2.757 1.592 9.222
-2.757 1.592 9.222
0.000 -3.183 9.222
Ac La Pd
2 1 9
direct
0.137 0.137 0.137
0.863 0.863 0.863
0.000 0.000 0.000
0.081 0.584 0.584
0.333 0.333 0.333
0.416 0.416 0.919
0.416 0.919 0.416
0.500 0.500 0.500
0.584 0.081 0.584
0.584 0.584 0.081
0.667 0.667 0.667
0.919 0.416 0.416
```

## Properties
total magnetization: 0.000 μB per atom
space group: R-3m, No. 166

B.
This record from Alexandria via LeMat-Bulk describes Ac2LaPd9 after structural relaxation. The functional is PBE.

Cell and atoms, written as POSCAR:
```
Ac2LaPd9
1.0
4.291 0.000 0.000
0.000 4.291 0.000
0.000 0.000 12.862
Ac La Pd
2 1 9
direct
0.000 0.000 0.168
0.000 0.000 0.832
0.000 0.000 0.500
0.000 0.500 0.000
0.000 0.500 0.338
0.000 0.500 0.662
0.500 0.000 0.000
0.500 0.000 0.338
0.500 0.000 0.662
0.500 0.500 0.170
0.500 0.500 0.500
0.500 0.500 0.830
```

## Properties
total magnetization: 0.000 μB per atom
space group: P4/mmm, No. 123

Going by the energies, B is most stable and the next is 0.031 eV/atom up.

A.
This record from Alexandria via LeMat-Bulk describes AcLaPd after structural relaxation. The functional is PBE.

Cell and atoms, written as POSCAR:
```
AcLaPd
1.0
0.000 3.697 3.697
3.697 0.000 3.697
3.697 3.697 0.000
Ac La Pd
1 1 1
direct
0.000 0.000 0.000
0.500 0.500 0.500
0.750 0.750 0.750
```

## Properties
total magnetization: 0.001 μB per atom
space group: F-43m, No. 216

B.
This record from Alexandria via LeMat-Bulk describes AcLaPd after structural relaxation. The functional is PBE.

Cell and atoms, written as POSCAR:
```
AcLaPd
1.0
7.085 0.000 0.000
0.000 7.348 0.000
-6.638 0.000 8.404
Ac La Pd
4 4 4
direct
0.139 0.082 0.383
0.139 0.418 0.883
0.861 0.582 0.117
0.861 0.918 0.617
0.361 0.579 0.615
0.361 0.921 0.115
0.639 0.079 0.885
0.639 0.421 0.385
0.367 0.739 0.363
0.367 0.761 0.863
0.633 0.239 0.137
0.633 0.261 0.637
```

## Properties
total magnetization: 0.000 μB per atom
space group: P2_1/c, No. 14

Going by the energies, B is most stable and the next is 0.082 eV/atom up.